# Sm3Dy2Zn2, relaxed, DFT PBE-GGA
# - E above lowest polymorph: 34.4 meV/atom
# - Density of states at the Fermi level: 17.02 states/eV/cell
# - E_tot: -3.801 eV per atom
# - Spin magnetization: 0.02 μB per formula unit
data_Sm3Dy2Zn2
_chemical_formula_sum 'Sm6 Dy4 Zn4'
_cell_length_a 3.5986
_cell_length_b 30.7609
_cell_length_c 3.5725
_cell_angle_alpha 90.00
_cell_angle_beta 90.00
_cell_angle_gamma 90.00
_symmetry_space_group_name_H-M 'C m m m'
_symmetry_Int_Tables_number 65
_symmetry_space_group_name_Hall '-C 2 2'
loop_
_atom_site_label
_atom_site_type_symbol
_atom_site_fract_x
_atom_site_fract_y
_atom_site_fract_z
_atom_site_occupancy
Sm1 Sm 0.0000 0.0000 0.0000 1
Sm2 Sm 0.0000 0.1197 0.0000 1
Dy1 Dy 0.0000 0.2983 0.5000 1
Zn1 Zn 0.0000 0.4404 0.5000 1


# Ba6RhAu2, relaxed, DFT PBE-GGA
# - Density of states at the Fermi level: 9.68 states/eV/cell
# - E_tot: -3.259 eV per atom
# - Spin magnetization: 0.00 μB per formula unit
data_Ba6RhAu2
_chemical_formula_sum 'Ba12 Rh2 Au4'
_cell_length_a 8.1421
_cell_length_b 7.6348
_cell_length_c 16.0084
_cell_angle_alpha 90.00
_cell_angle_beta 120.56
_cell_angle_gamma 90.00
_symmetry_space_group_name_H-M 'P 1 21/c 1'
_symmetry_Int_Tables_number 14
loop_
_symmetry_equiv_pos_as_xyz
'x,y,z'
'-x,-y,-z'
'-x,y+1/2,-z+1/2'
'x,-y+1/2,z+1/2'
loop_
_atom_site_label
_atom_site_type_symbol
_atom_site_fract_x
_atom_site_fract_y
_atom_site_fract_z
_atom_site_occupancy
Ba1 Ba 0.9996 0.2321 0.1589 1
Ba2 Ba 0.3173 0.7338 0.6584 1
Ba3 Ba 0.3184 0.2254 0.0003 1
Rh1 Rh 0.0000 0.0000 0.0000 1
Au1 Au 0.3242 0.0009 0.8239 1


# Ag3RuI2Cl6, relaxed, DFT PBE-GGA
# - Density of states at the Fermi level: 15.20 states/eV/cell
# - E_tot: -3.047 eV per atom
# - Spin magnetization: 2.10 μB per formula unit
data_Ag3RuI2Cl6
_chemical_formula_sum 'Ag6 Ru2 I4 Cl12'
_cell_length_a 14.2229
_cell_length_b 7.5939
_cell_length_c 6.0502
_cell_angle_alpha 90.00
_cell_angle_beta 93.41
_cell_angle_gamma 90.00
_symmetry_space_group_name_H-M 'C 1 2/m 1'
_symmetry_Int_Tables_number 12
loop_
_symmetry_equiv_pos_as_xyz
'x,y,z'
'-x,-y,-z'
'-x,y,-z'
'x,-y,z'
'x+1/2,y+1/2,z'
'-x+1/2,-y+1/2,-z'
'-x+1/2,y+1/2,-z'
'x+1/2,-y+1/2,z'
loop_
_atom_site_label
_atom_site_type_symbol
_atom_site_fract_x
_atom_site_fract_y
_atom_site_fract_z
_atom_site_occupancy
Ag1 Ag 0.0000 0.0000 0.0000 1
Ag2 Ag 0.2500 0.2500 0.5000 1
Ru1 Ru 0.0000 0.5000 0.5000 1
I1 I 0.1840 0.0000 0.1916 1
Cl1 Cl 0.0736 0.2803 0.7211 1
Cl2 Cl 0.1316 0.5000 0.2837 1


What is the density of states at the Fermi level in the second record?
9.68 states/eV/cell


What is the spin magnetization in the third record?
2.10 μB per formula unit


Number 3 is which compound?
Ag3RuI2Cl6


Which value of density of states at the Fermi level does entry 1 give?
17.02 states/eV/cell